Entry 1:
# Zr2HgAu

Zr2HgAu after structural relaxation (GGA-PBE, the Alexandria database).

**Space group**: R-3m
**E_tot**: -5.30 eV per atom

a = 9.9567 Å, b = 9.9567 Å, c = 9.9567 Å
α = 18.47°, β = 18.47°, γ = 18.47°
Positions (direct):
Zr (0.2463, 0.2463, 0.2463)
Zr (0.7537, 0.7537, 0.7537)
Hg (0.0000, 0.0000, 0.0000)
Au (0.5000, 0.5000, 0.5000)



Entry 2:
# ReSeCl2

ReSeCl2 after structural relaxation (GGA-PBE, the Alexandria database).

**Space group**: P4mm
**Energy above the most stable polymorph in this dataset**: 1.763 eV per formula unit
**Formation energy (no corrections)**: 0.99 eV per formula unit
**E_tot**: -4.66 eV per atom

a = 3.0066 Å, b = 3.0066 Å, c = 8.9046 Å
α = 90.00°, β = 90.00°, γ = 90.00°
Positions (direct):
Re (0.0000, 0.0000, 0.0000)
Se (0.5000, 0.5000, 0.1684)
Cl (0.0000, 0.0000, 0.4820)
Cl (0.5000, 0.5000, 0.8164)



Entry 3:
# LiErInAu

LiErInAu after structural relaxation (GGA-PBE, the Alexandria database).

**Space group**: F-43m
**E_tot**: -3.74 eV per atom

a = 4.8249 Å, b = 4.8249 Å, c = 4.8249 Å
α = 60.00°, β = 60.00°, γ = 60.00°
Positions (direct):
Li (0.0000, 0.0000, 0.0000)
Er (0.7500, 0.7500, 0.7500)
In (0.2500, 0.2500, 0.2500)
Au (0.5000, 0.5000, 0.5000)



Entry 4:
# Rb3HfU2S6

Rb3HfU2S6 after structural relaxation (GGA-PBE, the Alexandria database).

**Space group**: C2/m
**Formation energy (no corrections)**: -16.38 eV per formula unit
**E_tot**: -6.38 eV per atom

a = 6.8584 Å, b = 6.8584 Å, c = 8.0934 Å
α = 98.13°, β = 98.13°, γ = 120.00°
Positions (direct):
Rb (0.0000, 0.0000, 0.0000)
Rb (0.3310, 0.6690, 0.0000)
Rb (0.6690, 0.3310, 0.0000)
Hf (0.5000, 0.5000, 0.5000)
U (0.1665, 0.8335, 0.5000)
U (0.8335, 0.1665, 0.5000)
S (0.1197, 0.4360, 0.3080)
S (0.2483, 0.2483, 0.6928)
S (0.4360, 0.1197, 0.3080)
S (0.5640, 0.8803, 0.6920)
S (0.7517, 0.7517, 0.3072)
S (0.8803, 0.5640, 0.6920)



Entry 5:
# LiRu2Cl

LiRu2Cl after structural relaxation (GGA-PBE, the Alexandria database).

**Space group**: Cmmm
**Energy above the most stable polymorph in this dataset**: 2.810 eV per formula unit
**Formation energy (no corrections)**: 2.58 eV per formula unit
**E_tot**: -4.93 eV per atom

a = 2.8284 Å, b = 2.8284 Å, c = 8.5846 Å
α = 90.00°, β = 90.00°, γ = 120.33°
Positions (direct):
Li (0.0000, 0.0000, 0.0000)
Ru (0.5000, 0.5000, 0.2633)
Ru (0.5000, 0.5000, 0.7367)
Cl (0.0000, 0.0000, 0.5000)



Entry 6:
# PmPrNi

PmPrNi after structural relaxation (GGA-PBE, the Alexandria database).

**Space group**: P3m1
**Energy above the most stable polymorph in this dataset**: 0.343 eV per formula unit
**E_tot**: -5.20 eV per atom

a = 3.9493 Å, b = 3.9493 Å, c = 6.5080 Å
α = 90.00°, β = 90.00°, γ = 120.00°
Positions (direct):
Pm (0.0000, 0.0000, 0.0000)
Pr (0.6667, 0.3333, 0.5030)
Ni (0.3333, 0.6667, 0.7562)



Entry 7:
# CsSmNiCl6

CsSmNiCl6 after structural relaxation (GGA-PBE, the Alexandria database).

**Space group**: P312
**Formation energy (no corrections)**: -14.86 eV per formula unit
**E_tot**: -4.14 eV per atom

a = 6.7383 Å, b = 6.7383 Å, c = 7.8065 Å
α = 90.00°, β = 90.00°, γ = 120.00°
Positions (direct):
Cs (0.0000, 0.0000, 0.0000)
Sm (0.3333, 0.6667, 0.5000)
Ni (0.6667, 0.3333, 0.5000)
Cl (0.3885, 0.0310, 0.6865)
Cl (0.3885, 0.3576, 0.3135)
Cl (0.6424, 0.0310, 0.3135)
Cl (0.6424, 0.6115, 0.6865)
Cl (0.9690, 0.3576, 0.6865)
Cl (0.9690, 0.6115, 0.3135)